1.
Computed, not measured: La2CdRh after structural relaxation at the GGA-PBE level of DFT.

Volume   227.3 Å³ per cell
Formation energy   -293 meV/atom
Total magnetic moment   0.0 μB/cell

Unit cell a=6.724 b=6.724 c=6.724 alpha=104.19 beta=104.19 gamma=120.64
Atoms (fractional coordinates):
La: 0.070 0.125 0.445
La: 0.375 0.930 0.055
La: 0.680 0.625 0.555
La: 0.875 0.320 0.945
Cd: 0.250 0.750 0.500
Cd: 0.500 0.500 0.000
Rh: 0.000 0.000 0.000
Rh: 0.750 0.250 0.500

---

2.
Computed, not measured: CsPuBiBr6 after structural relaxation at the GGA-PBE level of DFT.

Volume   411.9 Å³ per cell
ΔE_f (raw)   -1.23 eV per atom
Total magnetic moment   6.0 μB/cell

Unit cell a=7.771 b=7.771 c=7.794 alpha=90.42 beta=90.42 gamma=118.93
Atoms (fractional coordinates):
Cs: 0.000 0.000 0.000
Pu: 0.329 0.671 0.500
Bi: 0.666 0.334 0.500
Br: 0.004 0.617 0.274
Br: 0.383 0.996 0.726
Br: 0.384 0.379 0.286
Br: 0.621 0.002 0.288
Br: 0.621 0.616 0.714
Br: 0.998 0.379 0.712

---

3.
Computed, not measured: LaZrZn after structural relaxation at the GGA-PBE level of DFT.

Volume   85.0 Å³ per cell
Formation energy   883 meV/atom
Total magnetic moment   1.1 μB/cell

Unit cell a=4.936 b=4.936 c=4.936 alpha=60.00 beta=60.00 gamma=60.00
Atoms (fractional coordinates):
La: 0.000 0.000 0.000
Zr: 0.750 0.750 0.750
Zn: 0.250 0.250 0.250

---

4.
Computed, not measured: KIn2TcSn after structural relaxation at the GGA-PBE level of DFT.

Volume   172.5 Å³ per cell
Formation energy   1678 meV/atom
Total magnetic moment   3.2 μB/cell

Unit cell a=5.757 b=5.757 c=5.205 alpha=90.00 beta=90.00 gamma=90.00
Atoms (fractional coordinates):
K: 0.000 0.000 0.000
In: 0.000 0.500 0.000
In: 0.500 0.000 0.000
Tc: 0.000 0.000 0.500
Sn: 0.500 0.500 0.500

---

5.
Computed, not measured: EuGa2Sb after structural relaxation at the GGA-PBE level of DFT.

Volume   99.8 Å³ per cell
ΔE_f (raw)   -0.28 eV per atom
Total magnetic moment   7.1 μB/cell

Unit cell a=5.206 b=5.206 c=5.206 alpha=60.00 beta=60.00 gamma=60.00
Atoms (fractional coordinates):
Eu: 0.000 0.000 0.000
Ga: 0.250 0.250 0.250
Ga: 0.750 0.750 0.750
Sb: 0.500 0.500 0.500

---

6.
Computed, not measured: LaZrTe after structural relaxation at the GGA-PBE level of DFT.

Volume   177.4 Å³ per cell
ΔE_f (raw)   -0.58 eV per atom
Total magnetic moment   0.0 μB/cell

Unit cell a=14.101 b=3.812 c=3.812 alpha=59.99 beta=90.00 gamma=90.00
Atoms (fractional coordinates):
La: 0.190 0.000 0.000
La: 0.810 0.000 0.000
Zr: 0.000 0.333 0.333
Zr: 0.500 0.000 0.000
Te: 0.364 0.333 0.333
Te: 0.636 0.333 0.333

---

Question: Which of these has the highest volume?
Answer: CsPuBiBr6